NaCoSO: relaxed, PBE+U.

Cell lengths 5.367, 5.582, 9.312 Å; angles 90.00, 90.36, 90.00 degrees
Space group P2_1 (No. 4)
Inequivalent atoms, fractional coordinates:
Na: 0.110 0.000 0.279 (multiplicity 2)
Na: 0.276 0.291 0.023 (multiplicity 2)
Co: 0.020 0.005 0.579 (multiplicity 2)
Co: 0.470 0.497 0.536 (multiplicity 2)
S: 0.172 0.910 0.818 (multiplicity 2)
S: 0.374 0.578 0.800 (multiplicity 2)
O: 0.230 0.243 0.472 (multiplicity 2)
O: 0.255 0.748 0.447 (multiplicity 2)

Relative energy among the computed polymorphs = 0.034 eV/atom
Calculated volume = 69.74 Å³/f.u.
Density = 3.1 g cm⁻³
DFT total energy = -74.6 eV per cell